This record from Alexandria describes crystalline NaCd2BMo at its relaxed geometry. The functional is PBE.

Output
Formation enthalpy at 0 K ... 1.168 eV per atom
Raw total energy ... -14.82 eV per cell
Space group ... P4/mmm

Structure (POSCAR):
```
NaCd2BMo
1.0
4.511 0.000 0.000
0.000 4.511 0.000
0.000 0.000 4.897
Na Cd B Mo
1 2 1 1
Direct
0.000 0.000 0.000
0.000 0.500 0.500
0.500 0.000 0.500
0.000 0.000 0.500
0.500 0.500 0.000
```